Entry 1:
Compound: K4DyU3Te8
Source: the Alexandria database
Functional: PBE
Structure: relaxed

abc: 9.0007 9.0007 24.8869
angles: 90.00 90.00 120.00
Space group R-3m (No. 166, hexagonal axes)
Inequivalent atoms, fractional coordinates:
K1 0.0000 0.0000 0.0000
K2 0.0000 0.5000 0.0000
Dy1 0.0000 0.0000 0.5000
U1 0.0000 0.5000 0.5000
Te1 0.0000 0.0000 0.2374
Te2 0.0031 0.5015 0.2371

Calculated values
formation energy from raw total energies = -0.976 eV/atom
size of the total moment = 27.0 μB/cell
N(E_F) = 1.436 states/eV/atom

=====

Entry 2:
Compound: K3DyU3Te8
Source: the Alexandria database
Functional: PBE
Structure: relaxed

abc: 8.9415 8.9744 9.8499
angles: 63.06 63.05 60.19
Space group P-1 (No. 2)
Inequivalent atoms, fractional coordinates:
K1 0.0000 0.0000 0.0000
K2 0.0000 0.5000 0.0000
K3 0.5000 0.0000 0.0000
Dy1 0.0000 0.0000 0.5000
U1 0.0000 0.5000 0.5000
U2 0.5000 0.0000 0.5000
U3 0.5000 0.5000 0.5000
Te1 0.2358 0.2358 0.2920
Te2 0.2356 0.7357 0.2927
Te3 0.2620 0.2631 0.7121
Te4 0.2632 0.7642 0.7086

Calculated values
formation energy from raw total energies = -0.942 eV/atom
size of the total moment = 2.7 μB/cell
N(E_F) = 1.284 states/eV/atom

=====

Entry 3:
Compound: K2DyUTe4
Source: the Alexandria database
Functional: PBE
Structure: relaxed

abc: 7.8098 4.5069 8.6679
angles: 90.00 107.50 90.00
Space group P2/m (No. 10)
Inequivalent atoms, fractional coordinates:
K1 0.0000 0.0000 0.0000
K2 0.5000 0.5000 0.0000
Dy1 0.0000 0.5000 0.5000
U1 0.5000 0.0000 0.5000
Te1 0.2334 0.0000 0.7099
Te2 0.2599 0.5000 0.2888

Calculated values
formation energy from raw total energies = -1.109 eV/atom
size of the total moment = 3.0 μB/cell
N(E_F) = 1.122 states/eV/atom

=====

Entry 4:
Compound: K3DyU2Te6
Source: the Alexandria database
Functional: PBE
Structure: relaxed

abc: 7.7951 13.5020 8.6868
angles: 90.00 107.40 90.00
Space group C2/m (No. 12)
Inequivalent atoms, fractional coordinates:
K1 0.0000 0.0000 0.0000
K2 0.0000 0.3330 0.0000
Dy1 0.0000 0.5000 0.5000
U1 0.0000 0.1667 0.5000
Te1 0.2358 0.3346 0.7112
Te2 0.2395 0.0000 0.7111

Calculated values
formation energy from raw total energies = -1.021 eV/atom
size of the total moment = 12.0 μB/cell
N(E_F) = 1.132 states/eV/atom

=====

Entry 5:
Compound: K3Dy3VTe8
Source: the Alexandria database
Functional: PBE
Structure: relaxed

abc: 14.9642 8.6258 9.8993
angles: 90.00 120.32 90.00
Space group C2/m (No. 12)
Inequivalent atoms, fractional coordinates:
K1 0.0000 0.0000 0.0000
K2 0.2500 0.2500 0.0000
Dy1 0.0000 0.5000 0.5000
Dy2 0.2500 0.2500 0.5000
V1 0.0000 0.0000 0.5000
Te1 0.0121 0.2310 0.3053
Te2 0.2189 0.0000 0.6947
Te3 0.2369 0.5000 0.7108

Calculated values
formation energy from raw total energies = -1.102 eV/atom
size of the total moment = 2.7 μB/cell
N(E_F) = 0.554 states/eV/atom

=====

Entry 6:
Compound: K3Dy3YTe8
Source: the Alexandria database
Functional: PBE
Structure: relaxed

abc: 8.7825 8.7825 25.5282
angles: 90.00 90.00 120.00
Space group R-3m (No. 166, hexagonal axes)
Inequivalent atoms, fractional coordinates:
K1 0.0000 0.5000 0.0000
Dy1 0.0000 0.5000 0.5000
Y1 0.0000 0.0000 0.5000
Te1 0.0000 0.0000 0.2363
Te2 0.0026 0.5013 0.7639

Calculated values
formation energy from raw total energies = -1.325 eV/atom
size of the total moment = 0.0 μB/cell
N(E_F) = 0.434 states/eV/atom

=====

Entry 7:
Compound: K3Dy2YTe6
Source: the Alexandria database
Functional: PBE
Structure: relaxed

abc: 7.7873 13.4889 8.6426
angles: 90.00 107.47 90.00
Space group C2/m (No. 12)
Inequivalent atoms, fractional coordinates:
K1 0.0000 0.0000 0.0000
K2 0.0000 0.3333 0.0000
Dy1 0.0000 0.1666 0.5000
Y1 0.0000 0.5000 0.5000
Te1 0.2359 0.0000 0.7086
Te2 0.2364 0.3332 0.7086

Calculated values
formation energy from raw total energies = -1.402 eV/atom
size of the total moment = 0.0 μB/cell

=====

Entry 8:
Compound: K4DyY3Te8
Source: the Alexandria database
Functional: PBE
Structure: relaxed

abc: 8.9960 8.9960 24.7295
angles: 90.00 90.00 120.00
Space group R-3m (No. 166, hexagonal axes)
Inequivalent atoms, fractional coordinates:
K1 0.0000 0.0000 0.0000
K2 0.0000 0.5000 0.0000
Dy1 0.0000 0.0000 0.5000
Y1 0.0000 0.5000 0.5000
Te1 0.0000 0.0000 0.2363
Te2 0.0004 0.5002 0.2362

Calculated values
formation energy from raw total energies = -1.409 eV/atom
size of the total moment = 0.0 μB/cell

=====

Entry 9:
Compound: K2Dy2ZrTe6
Source: the Alexandria database
Functional: PBE
Structure: relaxed

abc: 7.5306 12.9728 8.8462
angles: 90.00 107.02 90.00
Space group C2/m (No. 12)
Inequivalent atoms, fractional coordinates:
K1 0.0000 0.1703 0.0000
Dy1 0.0000 0.3321 0.5000
Zr1 0.0000 0.0000 0.5000
Te1 0.2320 0.1586 0.7049
Te2 0.2491 0.5000 0.7027

Calculated values
formation energy from raw total energies = -1.237 eV/atom
size of the total moment = 0.0 μB/cell

=====

Entry 10:
Compound: K2DyZrTe4
Source: the Alexandria database
Functional: PBE
Structure: relaxed

abc: 7.5445 4.3120 8.6850
angles: 90.00 106.49 90.00
Space group P2/m (No. 10)
Inequivalent atoms, fractional coordinates:
K1 0.0000 0.0000 0.0000
K2 0.5000 0.5000 0.0000
Dy1 0.0000 0.5000 0.5000
Zr1 0.5000 0.0000 0.5000
Te1 0.2463 0.0000 0.7090
Te2 0.2751 0.5000 0.2955

Calculated values
formation energy from raw total energies = -1.159 eV/atom
size of the total moment = 0.0 μB/cell
N(E_F) = 0.418 states/eV/atom

=====

Entry 11:
Compound: K3Dy2ZrTe6
Source: the Alexandria database
Functional: PBE
Structure: relaxed

abc: 7.6148 13.1927 8.6687
angles: 90.00 107.06 90.00
Space group C2/m (No. 12)
Inequivalent atoms, fractional coordinates:
K1 0.0000 0.0000 0.0000
K2 0.0000 0.3298 0.0000
Dy1 0.0000 0.1662 0.5000
Zr1 0.0000 0.5000 0.5000
Te1 0.2301 0.3387 0.7067
Te2 0.2473 0.0000 0.7078

Calculated values
formation energy from raw total energies = -1.229 eV/atom
size of the total moment = 1.5 μB/cell
N(E_F) = 0.440 states/eV/atom

=====

Entry 12:
Compound: KDy2Th
Source: the Alexandria database
Functional: PBE
Structure: relaxed

abc: 3.6082 3.6082 39.4135
angles: 90.00 90.00 120.00
Space group R-3m (No. 166, hexagonal axes)
Inequivalent atoms, fractional coordinates:
K1 0.0000 0.0000 0.0000
Dy1 0.0000 0.0000 0.0966
Th1 0.0000 0.0000 0.5000

Calculated values
size of the total moment = 0.0 μB/cell
N(E_F) = 1.328 states/eV/atom
VASP energy = -50.5 eV for the cell shown

=====

Question: Among the records above, which one has the highest size of the total moment?
Answer: K4DyU3Te8